1.
Density functional theory data (PBE-GGA) for Hf4CdAg after structural relaxation.

Calculated values
* electronic total energy: -7.3571 eV/atom
* space-group type: P4/mmm, No. 123

Unit cell a=3.1777 b=3.1777 c=12.6928 alpha=90.00 beta=90.00 gamma=90.00
Element x y z (fractional)
1 Hf 0.0000 0.0000 0.1591
2 Hf 0.0000 0.0000 0.8409
3 Hf 0.5000 0.5000 0.3231
4 Hf 0.5000 0.5000 0.6769
5 Cd 0.0000 0.0000 0.5000
6 Ag 0.5000 0.5000 0.0000

2.
Density functional theory data (PBE-GGA) for MgMnIn2 after structural relaxation.

Calculated values
* electronic total energy: -3.9376 eV/atom
* space-group type: Imm2, No. 44

Unit cell a=3.0998 b=4.6832 c=11.9523 alpha=90.00 beta=90.00 gamma=90.00
Element x y z (fractional)
1 Mg 0.0000 0.0000 0.0000
2 Mg 0.5000 0.5000 0.5000
3 Mn 0.0000 0.5000 0.7004
4 Mn 0.5000 0.0000 0.2004
5 In 0.0000 0.0000 0.4004
6 In 0.0000 0.5000 0.1920
7 In 0.5000 0.0000 0.6920
8 In 0.5000 0.5000 0.9004

3.
Density functional theory data (PBE-GGA) for Rb3Mg2TlCl9 after structural relaxation.

Calculated values
* electronic total energy: -3.3274 eV/atom
* space-group type: P-3m1, No. 164

Unit cell a=7.3906 b=7.3906 c=9.1133 alpha=90.00 beta=90.00 gamma=120.00
Element x y z (fractional)
1 Rb 0.0000 0.0000 0.0000
2 Rb 0.3333 0.6667 0.6658
3 Rb 0.6667 0.3333 0.3342
4 Mg 0.3333 0.6667 0.1514
5 Mg 0.6667 0.3333 0.8486
6 Tl 0.0000 0.0000 0.5000
7 Cl 0.0000 0.5000 0.0000
8 Cl 0.1768 0.3535 0.3195
9 Cl 0.1768 0.8232 0.3195
10 Cl 0.3535 0.1768 0.6805
11 Cl 0.5000 0.0000 0.0000
12 Cl 0.5000 0.5000 0.0000
13 Cl 0.6464 0.8232 0.3195
14 Cl 0.8232 0.1768 0.6805
15 Cl 0.8232 0.6464 0.6805

4.
Density functional theory data (PBE-GGA) for Ba2LaTe after structural relaxation.

Calculated values
* electronic total energy: -3.5402 eV/atom
* space-group type: R-3m, No. 166

Unit cell a=4.4768 b=4.4768 c=34.2802 alpha=90.00 beta=90.00 gamma=120.00
Element x y z (fractional)
1 Ba 0.0000 0.0000 0.2320
2 Ba 0.0000 0.0000 0.7680
3 Ba 0.3333 0.6667 0.4347
4 Ba 0.3333 0.6667 0.8986
5 Ba 0.6667 0.3333 0.1014
6 Ba 0.6667 0.3333 0.5653
7 La 0.0000 0.0000 0.0000
8 La 0.3333 0.6667 0.6667
9 La 0.6667 0.3333 0.3333
10 Te 0.0000 0.0000 0.5000
11 Te 0.3333 0.6667 0.1667
12 Te 0.6667 0.3333 0.8333

5.
Density functional theory data (PBE-GGA) for Ho8ErCd2 after structural relaxation.

Calculated values
* electronic total energy: -3.8712 eV/atom
* space-group type: C2/m, No. 12

Unit cell a=8.6843 b=8.6843 c=5.5198 alpha=101.05 beta=101.05 gamma=119.62
Element x y z (fractional)
1 Ho 0.0943 0.3196 0.6141
2 Ho 0.2192 0.7808 0.0000
3 Ho 0.3196 0.0943 0.6141
4 Ho 0.3986 0.3986 0.2012
5 Ho 0.6014 0.6014 0.7988
6 Ho 0.6804 0.9057 0.3859
7 Ho 0.7808 0.2192 0.0000
8 Ho 0.9057 0.6804 0.3859
9 Er 0.0000 0.0000 0.0000
10 Cd 0.3061 0.6939 0.5000
11 Cd 0.6939 0.3061 0.5000

6.
Density functional theory data (PBE-GGA) for ScPW after structural relaxation.

Calculated values
* electronic total energy: -8.4822 eV/atom
* space-group type: F-43m, No. 216
* E above lowest polymorph: 197 meV/atom

Unit cell a=5.9234 b=5.9234 c=5.9234 alpha=90.00 beta=90.00 gamma=90.00
Element x y z (fractional)
1 Sc 0.0000 0.0000 0.0000
2 Sc 0.0000 0.5000 0.5000
3 Sc 0.5000 0.0000 0.5000
4 Sc 0.5000 0.5000 0.0000
5 P 0.2500 0.2500 0.7500
6 P 0.2500 0.7500 0.2500
7 P 0.7500 0.2500 0.2500
8 P 0.7500 0.7500 0.7500
9 W 0.0000 0.0000 0.5000
10 W 0.0000 0.5000 0.0000
11 W 0.5000 0.0000 0.0000
12 W 0.5000 0.5000 0.5000